Entry 1:
The following is a DFT calculation (PBE) of a geometry-optimized TlAs2Au structure.

a b c (Å): 6.117 6.117 4.958
angles (deg): 105.73 105.73 35.27
Atoms (fractional coordinates):
Tl (0.000, 0.000, 0.000)
As (0.273, 0.273, 0.354)
As (0.727, 0.727, 0.646)
Au (0.500, 0.500, 0.500)

The density comes out at 8.91 g/cm3. The energy above the most stable polymorph in this dataset is 0.000 eV/atom. Its spin magnetization is 0.000 μB per atom. The calculation puts the density of states at the Fermi level at 1.16 states/eV/f.u.

Entry 2:
The following is a DFT calculation (PBE) of a geometry-optimized TlAsAu structure.

a b c (Å): 6.909 6.909 5.851
angles (deg): 90.00 90.00 147.91
Atoms (fractional coordinates):
Tl (0.197, 0.803, 0.750)
Tl (0.803, 0.197, 0.250)
As (0.089, 0.911, 0.250)
As (0.911, 0.089, 0.750)
Au (0.500, 0.500, 0.000)
Au (0.500, 0.500, 0.500)

The density comes out at 10.66 g/cm3. The energy above the most stable polymorph in this dataset is 0.082 eV/atom. Its spin magnetization is 0.000 μB per atom. The calculation puts the density of states at the Fermi level at 1.47 states/eV/f.u.

Entry 3:
The following is a DFT calculation (PBE) of a geometry-optimized Tl2AsAu structure.

a b c (Å): 4.571 5.153 5.153
angles (deg): 66.49 90.00 90.00
Atoms (fractional coordinates):
Tl (0.000, 0.000, 0.000)
Tl (0.500, 0.359, 0.359)
As (0.000, 0.617, 0.617)
Au (0.500, 0.751, 0.751)

The density comes out at 10.15 g/cm3. The energy above the most stable polymorph in this dataset is 0.043 eV/atom. Its spin magnetization is 0.000 μB per atom. The calculation puts the density of states at the Fermi level at 1.08 states/eV/f.u.

Entry 4:
The following is a DFT calculation (PBE) of a geometry-optimized Tl3AsAu structure.

a b c (Å): 5.486 5.486 5.486
angles (deg): 90.00 90.00 90.00
Atoms (fractional coordinates):
Tl (0.000, 0.000, 0.500)
Tl (0.000, 0.500, 0.000)
Tl (0.500, 0.000, 0.000)
As (0.500, 0.500, 0.500)
Au (0.000, 0.000, 0.000)

The density comes out at 8.90 g/cm3. The energy above the most stable polymorph in this dataset is 0.317 eV/atom. Its spin magnetization is 0.136 μB per atom. The calculation puts the density of states at the Fermi level at 3.75 states/eV/f.u.

Entry 5:
The following is a DFT calculation (PBE) of a geometry-optimized Tl12As6Au structure.

a b c (Å): 8.299 8.299 8.299
angles (deg): 99.12 99.12 99.12
Atoms (fractional coordinates):
Tl (0.147, 0.435, 0.166)
Tl (0.166, 0.147, 0.435)
Tl (0.169, 0.657, 0.566)
Tl (0.343, 0.434, 0.831)
Tl (0.434, 0.831, 0.343)
Tl (0.435, 0.166, 0.147)
Tl (0.565, 0.834, 0.853)
Tl (0.566, 0.169, 0.657)
Tl (0.657, 0.566, 0.169)
Tl (0.831, 0.343, 0.434)
Tl (0.834, 0.853, 0.565)
Tl (0.853, 0.565, 0.834)
As (0.042, 0.791, 0.189)
As (0.189, 0.042, 0.791)
As (0.209, 0.811, 0.958)
As (0.791, 0.189, 0.042)
As (0.811, 0.958, 0.209)
As (0.958, 0.209, 0.811)
Au (0.500, 0.500, 0.500)

The density comes out at 9.41 g/cm3. Its spin magnetization is 0.000 μB per atom. The calculation puts the density of states at the Fermi level at 9.12 states/eV/f.u.

Entry 6:
The following is a DFT calculation (PBE) of a geometry-optimized Tl6AsAu3 structure.

a b c (Å): 11.308 4.333 12.406
angles (deg): 90.00 110.89 90.00
Atoms (fractional coordinates):
Tl (0.008, 0.250, 0.382)
Tl (0.119, 0.250, 0.958)
Tl (0.234, 0.750, 0.287)
Tl (0.326, 0.750, 0.758)
Tl (0.392, 0.250, 0.544)
Tl (0.393, 0.750, 0.104)
Tl (0.607, 0.250, 0.896)
Tl (0.608, 0.750, 0.456)
Tl (0.674, 0.250, 0.242)
Tl (0.766, 0.250, 0.713)
Tl (0.881, 0.750, 0.042)
Tl (0.992, 0.750, 0.618)
As (0.432, 0.250, 0.303)
As (0.568, 0.750, 0.697)
Au (0.049, 0.250, 0.164)
Au (0.185, 0.750, 0.507)
Au (0.358, 0.250, 0.923)
Au (0.642, 0.750, 0.077)
Au (0.815, 0.250, 0.493)
Au (0.951, 0.750, 0.836)

The density comes out at 11.07 g/cm3. Its spin magnetization is 0.000 μB per atom. The calculation puts the density of states at the Fermi level at 4.30 states/eV/f.u.

Entry 7:
The following is a DFT calculation (PBE) of a geometry-optimized Tl2AsAu structure.

a b c (Å): 5.184 5.184 5.184
angles (deg): 60.00 60.00 60.00
Atoms (fractional coordinates):
Tl (0.250, 0.250, 0.250)
Tl (0.750, 0.750, 0.750)
As (0.000, 0.000, 0.000)
Au (0.500, 0.500, 0.500)

The density comes out at 11.47 g/cm3. The energy above the most stable polymorph in this dataset is 0.259 eV/atom. Its spin magnetization is 0.000 μB per atom. The calculation puts the density of states at the Fermi level at 2.90 states/eV/f.u.

Entry 8:
The following is a DFT calculation (PBE) of a geometry-optimized Tl3As2Au4 structure.

a b c (Å): 8.595 8.595 6.496
angles (deg): 98.81 98.81 94.28
Atoms (fractional coordinates):
Tl (0.146, 0.854, 0.750)
Tl (0.261, 0.482, 0.333)
Tl (0.482, 0.261, 0.833)
Tl (0.518, 0.739, 0.167)
Tl (0.739, 0.518, 0.667)
Tl (0.854, 0.146, 0.250)
As (0.026, 0.332, 0.798)
As (0.332, 0.026, 0.298)
As (0.668, 0.974, 0.702)
As (0.974, 0.668, 0.202)
Au (0.159, 0.162, 0.044)
Au (0.162, 0.159, 0.544)
Au (0.250, 0.539, 0.812)
Au (0.461, 0.750, 0.688)
Au (0.539, 0.250, 0.312)
Au (0.750, 0.461, 0.188)
Au (0.838, 0.841, 0.456)
Au (0.841, 0.838, 0.956)

The density comes out at 11.05 g/cm3. Its spin magnetization is 0.000 μB per atom. The calculation puts the density of states at the Fermi level at 2.85 states/eV/f.u.

Entry 9:
The following is a DFT calculation (PBE) of a geometry-optimized Tl4AsAu5 structure.

a b c (Å): 7.301 7.301 7.301
angles (deg): 96.95 96.95 139.28
Atoms (fractional coordinates):
Tl (0.000, 0.309, 0.309)
Tl (0.000, 0.691, 0.691)
Tl (0.309, 0.000, 0.309)
Tl (0.691, 0.000, 0.691)
As (0.332, 0.332, 0.000)
Au (0.323, 0.323, 0.622)
Au (0.323, 0.701, 0.000)
Au (0.701, 0.323, 0.000)
Au (0.701, 0.701, 0.378)
Au (0.832, 0.832, 0.000)

The density comes out at 13.10 g/cm3. Its spin magnetization is 0.000 μB per atom. The calculation puts the density of states at the Fermi level at 3.47 states/eV/f.u.

Entry 10:
The following is a DFT calculation (PBE) of a geometry-optimized Tl3As5Au12 structure.

a b c (Å): 13.629 13.629 13.629
angles (deg): 109.47 109.47 109.47
Atoms (fractional coordinates):
Tl (0.125, 0.250, 0.375)
Tl (0.125, 0.375, 0.750)
Tl (0.250, 0.375, 0.125)
Tl (0.250, 0.875, 0.625)
Tl (0.375, 0.125, 0.250)
Tl (0.375, 0.750, 0.125)
Tl (0.625, 0.250, 0.875)
Tl (0.625, 0.875, 0.750)
Tl (0.750, 0.125, 0.375)
Tl (0.750, 0.625, 0.875)
Tl (0.875, 0.625, 0.250)
Tl (0.875, 0.750, 0.625)
As (0.000, 0.000, 0.000)
As (0.000, 0.000, 0.500)
As (0.000, 0.500, 0.000)
As (0.000, 0.500, 0.500)
As (0.125, 0.750, 0.875)
As (0.125, 0.875, 0.250)
As (0.250, 0.125, 0.875)
As (0.250, 0.625, 0.375)
As (0.375, 0.250, 0.625)
As (0.375, 0.625, 0.750)
As (0.500, 0.000, 0.000)
As (0.500, 0.000, 0.500)
As (0.500, 0.500, 0.000)
As (0.500, 0.500, 0.500)
As (0.625, 0.375, 0.250)
As (0.625, 0.750, 0.375)
As (0.750, 0.375, 0.625)
As (0.750, 0.875, 0.125)
As (0.875, 0.125, 0.750)
As (0.875, 0.250, 0.125)
Au (0.045, 0.216, 0.125)
Au (0.045, 0.329, 0.920)
Au (0.080, 0.625, 0.409)
Au (0.080, 0.955, 0.671)
Au (0.091, 0.716, 0.671)
Au (0.091, 0.875, 0.420)
Au (0.125, 0.045, 0.216)
Au (0.125, 0.580, 0.909)
Au (0.171, 0.216, 0.591)
Au (0.171, 0.455, 0.580)
Au (0.216, 0.125, 0.045)
Au (0.216, 0.591, 0.171)
Au (0.284, 0.329, 0.909)
Au (0.284, 0.455, 0.375)
Au (0.329, 0.909, 0.284)
Au (0.329, 0.920, 0.045)
Au (0.375, 0.284, 0.455)
Au (0.375, 0.591, 0.920)
Au (0.409, 0.080, 0.625)
Au (0.409, 0.829, 0.784)
Au (0.420, 0.091, 0.875)
Au (0.420, 0.829, 0.545)
Au (0.455, 0.375, 0.284)
Au (0.455, 0.580, 0.171)
Au (0.545, 0.420, 0.829)
Au (0.545, 0.625, 0.716)
Au (0.580, 0.171, 0.455)
Au (0.580, 0.909, 0.125)
Au (0.591, 0.171, 0.216)
Au (0.591, 0.920, 0.375)
Au (0.625, 0.409, 0.080)
Au (0.625, 0.716, 0.545)
Au (0.671, 0.080, 0.955)
Au (0.671, 0.091, 0.716)
Au (0.716, 0.545, 0.625)
Au (0.716, 0.671, 0.091)
Au (0.784, 0.409, 0.829)
Au (0.784, 0.875, 0.955)
Au (0.829, 0.545, 0.420)
Au (0.829, 0.784, 0.409)
Au (0.875, 0.420, 0.091)
Au (0.875, 0.955, 0.784)
Au (0.909, 0.125, 0.580)
Au (0.909, 0.284, 0.329)
Au (0.920, 0.045, 0.329)
Au (0.920, 0.375, 0.591)
Au (0.955, 0.671, 0.080)
Au (0.955, 0.784, 0.875)

The density comes out at 11.42 g/cm3. Its spin magnetization is 0.000 μB per atom. The calculation puts the density of states at the Fermi level at 8.60 states/eV/f.u.

Entry 11:
The following is a DFT calculation (PBE) of a geometry-optimized TlAs2Au structure.

a b c (Å): 3.164 3.164 9.785
angles (deg): 90.00 90.00 110.58
Atoms (fractional coordinates):
Tl (0.000, 0.000, 0.000)
As (0.000, 0.000, 0.509)
As (0.500, 0.500, 0.321)
Au (0.500, 0.500, 0.748)

The density comes out at 9.98 g/cm3. The energy above the most stable polymorph in this dataset is 0.382 eV/atom. Its spin magnetization is 0.000 μB per atom. The calculation puts the density of states at the Fermi level at 1.94 states/eV/f.u.

Entry 12:
The following is a DFT calculation (PBE) of a geometry-optimized TlAsAu structure.

a b c (Å): 3.564 5.997 5.997
angles (deg): 45.77 90.00 90.00
Atoms (fractional coordinates):
Tl (0.000, 0.000, 0.000)
As (0.000, 0.640, 0.640)
Au (0.500, 0.800, 0.800)

The density comes out at 8.61 g/cm3. The energy above the most stable polymorph in this dataset is 0.223 eV/atom. Its spin magnetization is 0.000 μB per atom. The calculation puts the density of states at the Fermi level at 1.21 states/eV/f.u.

Entry 13:
The following is a DFT calculation (PBE) of a geometry-optimized TlAs2Au structure.

a b c (Å): 7.296 7.296 7.296
angles (deg): 32.22 32.22 32.22
Atoms (fractional coordinates):
Tl (0.000, 0.000, 0.000)
As (0.557, 0.557, 0.557)
As (0.773, 0.773, 0.773)
Au (0.166, 0.166, 0.166)

The density comes out at 9.33 g/cm3. The energy above the most stable polymorph in this dataset is 0.186 eV/atom. Its spin magnetization is 0.000 μB per atom. The calculation puts the density of states at the Fermi level at 2.54 states/eV/f.u.

Entry 14:
The following is a DFT calculation (PBE) of a geometry-optimized TlAs2Au2 structure.

a b c (Å): 8.468 8.468 2.981
angles (deg): 90.00 90.00 90.00
Atoms (fractional coordinates):
Tl (0.000, 0.000, 0.000)
Tl (0.500, 0.500, 0.000)
As (0.142, 0.358, 0.500)
As (0.358, 0.858, 0.500)
As (0.642, 0.142, 0.500)
As (0.858, 0.642, 0.500)
Au (0.157, 0.657, 0.000)
Au (0.343, 0.157, 0.000)
Au (0.657, 0.843, 0.000)
Au (0.843, 0.343, 0.000)

The density comes out at 11.62 g/cm3. The energy above the most stable polymorph in this dataset is 0.123 eV/atom. Its spin magnetization is 0.000 μB per atom. The calculation puts the density of states at the Fermi level at 1.23 states/eV/f.u.

Entry 15:
The following is a DFT calculation (PBE) of a geometry-optimized Tl2As2Au3 structure.

a b c (Å): 14.544 14.544 3.029
angles (deg): 90.00 90.00 165.30
Atoms (fractional coordinates):
Tl (0.127, 0.873, 0.000)
Tl (0.873, 0.127, 0.000)
As (0.279, 0.721, 0.500)
As (0.721, 0.279, 0.500)
Au (0.000, 0.000, 0.000)
Au (0.443, 0.557, 0.500)
Au (0.557, 0.443, 0.500)

The density comes out at 11.74 g/cm3. Its spin magnetization is 0.000 μB per atom. The calculation puts the density of states at the Fermi level at 3.72 states/eV/f.u.

Entry 16:
The following is a DFT calculation (PBE) of a geometry-optimized Tl4AsAu4 structure.

a b c (Å): 8.021 8.021 7.340
angles (deg): 90.00 90.00 90.00
Atoms (fractional coordinates):
Tl (0.036, 0.822, 0.129)
Tl (0.178, 0.536, 0.629)
Tl (0.322, 0.964, 0.629)
Tl (0.464, 0.678, 0.129)
Tl (0.536, 0.322, 0.871)
Tl (0.678, 0.036, 0.371)
Tl (0.822, 0.464, 0.371)
Tl (0.964, 0.178, 0.871)
As (0.250, 0.250, 0.250)
As (0.750, 0.750, 0.750)
Au (0.027, 0.175, 0.480)
Au (0.175, 0.473, 0.020)
Au (0.325, 0.027, 0.020)
Au (0.473, 0.325, 0.480)
Au (0.527, 0.675, 0.520)
Au (0.675, 0.973, 0.980)
Au (0.825, 0.527, 0.980)
Au (0.973, 0.825, 0.520)

The density comes out at 11.82 g/cm3. Its spin magnetization is 0.000 μB per atom. The calculation puts the density of states at the Fermi level at 3.35 states/eV/f.u.

Entry 17:
The following is a DFT calculation (PBE) of a geometry-optimized Tl3AsAu structure.

a b c (Å): 4.697 9.212 6.419
angles (deg): 90.00 90.00 90.00
Atoms (fractional coordinates):
Tl (0.250, 0.040, 0.244)
Tl (0.250, 0.250, 0.726)
Tl (0.250, 0.460, 0.244)
Tl (0.750, 0.540, 0.756)
Tl (0.750, 0.750, 0.274)
Tl (0.750, 0.960, 0.756)
As (0.250, 0.750, 0.583)
As (0.750, 0.250, 0.417)
Au (0.250, 0.750, 0.981)
Au (0.750, 0.250, 0.019)

The density comes out at 10.58 g/cm3. The energy above the most stable polymorph in this dataset is 0.000 eV/atom. Its spin magnetization is 0.000 μB per atom. The calculation puts the density of states at the Fermi level at 1.80 states/eV/f.u.

Entry 18:
The following is a DFT calculation (PBE) of a geometry-optimized TlAs2Au structure.

a b c (Å): 3.604 3.728 7.094
angles (deg): 90.00 90.00 90.00
Atoms (fractional coordinates):
Tl (0.000, 0.000, 0.000)
As (0.500, 0.500, 0.328)
As (0.500, 0.500, 0.672)
Au (0.000, 0.000, 0.500)

The density comes out at 9.60 g/cm3. The energy above the most stable polymorph in this dataset is 0.266 eV/atom. Its spin magnetization is 0.000 μB per atom. The calculation puts the density of states at the Fermi level at 2.11 states/eV/f.u.

Entry 19:
The following is a DFT calculation (PBE) of a geometry-optimized TlAsAu structure.

a b c (Å): 4.584 3.174 5.642
angles (deg): 90.00 112.78 90.00
Atoms (fractional coordinates):
Tl (0.000, 0.000, 0.000)
As (0.283, 0.500, 0.580)
Au (0.688, 0.500, 0.381)

The density comes out at 10.45 g/cm3. The energy above the most stable polymorph in this dataset is 0.175 eV/atom. Its spin magnetization is 0.000 μB per atom. The calculation puts the density of states at the Fermi level at 1.19 states/eV/f.u.

Entry 20:
The following is a DFT calculation (PBE) of a geometry-optimized TlAsAu structure.

a b c (Å): 4.253 4.255 4.669
angles (deg): 91.57 91.23 94.10
Atoms (fractional coordinates):
Tl (0.000, 0.000, 0.000)
As (0.494, 0.506, 0.001)
Au (0.634, 0.367, 0.500)

The density comes out at 9.39 g/cm3. The energy above the most stable polymorph in this dataset is 0.209 eV/atom. Its spin magnetization is 0.000 μB per atom. The calculation puts the density of states at the Fermi level at 0.69 states/eV/f.u.

Entry 21:
The following is a DFT calculation (PBE) of a geometry-optimized TlAs2Au structure.

a b c (Å): 6.077 6.077 6.077
angles (deg): 150.12 124.72 64.11
Atoms (fractional coordinates):
Tl (0.000, 0.000, 0.000)
As (0.289, 0.789, 0.500)
As (0.711, 0.211, 0.500)
Au (0.500, 0.500, 0.000)

The density comes out at 10.06 g/cm3. The energy above the most stable polymorph in this dataset is 0.309 eV/atom. Its spin magnetization is 0.000 μB per atom. The calculation puts the density of states at the Fermi level at 1.70 states/eV/f.u.

The following energy of formation values (in meV/atom) correspond, in order, to the records above: -87; 22; -24; 348; 57; 13; 193; -5; 19; 167; 295; 163; 99; 174; 63; 2; 31; 178; 115; 148; 221.